(1)
A plane-wave DFT calculation with PBE was carried out for SiMoBr4 after structural relaxation.

Cell lengths 6.1988, 6.1988, 6.1988 Å; angles 60.00, 60.00, 60.00 degrees
With the nearest neighbours (Å) after each atom.
Fractional positions:
Mo: 0.7500 0.7500 0.7500  12 Br 3.63, 4 Si 3.80
Br: 0.8731 0.3756 0.3756  6 Br 3.08-3.12
Br: 0.3756 0.3756 0.8731  6 Br 3.08-3.12
Br: 0.3756 0.8731 0.3756  6 Br 3.08-3.12
Br: 0.3756 0.3756 0.3756  6 Br 3.08-3.12
Si: 0.0000 0.0000 0.0000  12 Br 3.64, 4 Mo 3.80

Raw formation energy   133.3 kJ per mole of atoms
Space group   F-43m
M_tot   0.662 μB/atom
Calculated volume   168 Å³/cell
E   -2.443 eV/atom

***

(2)
A plane-wave DFT calculation with PBE was carried out for AuCl2 after structural relaxation.

Cell lengths 4.6020, 4.6020, 4.6020 Å; angles 60.00, 60.00, 60.00 degrees
With the nearest neighbours (Å) after each atom.
Fractional positions:
Cl: 0.7500 0.7500 0.7500  4 Au 2.82
Au: 0.0000 0.0000 0.0000  8 Cl 2.82
Cl: 0.2500 0.2500 0.2500  4 Au 2.82

Raw formation energy   22.8 kJ per mole of atoms
Space group   Fm-3m
M_tot   0.310 μB/atom
Calculated volume   69 Å³/cell
E   -2.088 eV/atom

***

(3)
A plane-wave DFT calculation with PBE was carried out for Pr2MgPt after structural relaxation.

Cell lengths 3.7666, 3.7666, 7.5660 Å; angles 90.00, 90.00, 90.00 degrees
With the nearest neighbours (Å) after each atom.
Fractional positions:
Pr: 0.0000 0.0000 0.2221  4 Pt 3.15, 1 Pr 3.36, 4 Mg 3.39
Mg: 0.5000 0.5000 0.5000  8 Pr 3.39, 4 Mg 3.77, 2 Pt 3.78
Pt: 0.5000 0.5000 0.0000  8 Pr 3.15
Pr: 0.0000 0.0000 0.7779  4 Pt 3.15, 1 Pr 3.36, 4 Mg 3.39

Space group   P4/mmm
M_tot   0.000 μB/atom
Calculated volume   107 Å³/cell
E   -4.857 eV/atom
Energy of formation from the pure elements   -0.558 eV/atom

***

(4)
A plane-wave DFT calculation with PBE was carried out for CaPr2Cd after structural relaxation.

Cell lengths 5.6775, 5.6775, 5.6775 Å; angles 60.00, 60.00, 60.00 degrees
With the nearest neighbours (Å) after each atom.
Fractional positions:
Pr: 0.7500 0.7500 0.7500  4 Ca 3.48, 4 Cd 3.48
Cd: 0.0000 0.0000 0.0000  8 Pr 3.48
Pr: 0.2500 0.2500 0.2500  4 Cd 3.48, 4 Ca 3.48
Ca: 0.5000 0.5000 0.5000  8 Pr 3.48

Space group   Fm-3m
M_tot   0.000 μB/atom
Calculated volume   129 Å³/cell
E   -3.182 eV/atom
Energy of formation from the pure elements   -0.063 eV/atom

***

(5)
A plane-wave DFT calculation with PBE was carried out for CaSiGe2Ru2 after structural relaxation.

Cell lengths 4.4945, 4.4945, 5.6016 Å; angles 90.00, 90.00, 90.00 degrees
With the nearest neighbours (Å) after each atom.
Fractional positions:
Ge: 0.5000 0.5000 0.7337  1 Ge 2.62, 4 Ru 2.70
Si: 0.0000 0.0000 0.0000  4 Ru 2.25
Ge: 0.5000 0.5000 0.2663  1 Ge 2.62, 4 Ru 2.70
Ru: 0.5000 0.0000 0.0000  2 Si 2.25
Ca: 0.0000 0.0000 0.5000  2 Si 2.80
Ru: 0.0000 0.5000 0.0000  2 Si 2.25

Raw formation energy   -19.3 kJ per mole of atoms
Space group   P4/mmm
M_tot   0.179 μB/atom
Calculated volume   113 Å³/cell
E   -6.068 eV/atom

***

(6)
A plane-wave DFT calculation with PBE was carried out for LaZnNi2H8 after structural relaxation.

Cell lengths 4.3757, 4.3757, 6.3675 Å; angles 90.00, 90.00, 120.00 degrees
With the nearest neighbours (Å) after each atom.
Fractional positions:
La: 0.0000 0.0000 0.0000  12 H 2.48-2.57
H: 0.6922 0.6592 0.6819  1 Ni 1.59
H: 0.3408 0.0330 0.6819  1 Ni 1.59
H: 0.9670 0.3078 0.6819  1 Ni 1.59
H: 0.6667 0.3333 0.0713  1 Ni 1.59
H: 0.3078 0.3408 0.3181  1 Ni 1.59
H: 0.0330 0.6922 0.3181  1 Ni 1.59
Ni: 0.3333 0.6667 0.6797  4 H 1.59
H: 0.6592 0.9670 0.3181  1 Ni 1.59
Zn: 0.0000 0.0000 0.5000  6 H 1.84
H: 0.3333 0.6667 0.9287  1 Ni 1.59
Ni: 0.6667 0.3333 0.3203  4 H 1.59

Space group   P-3
M_tot   0.000 μB/atom
Calculated volume   106 Å³/cell
E   -3.773 eV/atom

***

(7)
A plane-wave DFT calculation with PBE was carried out for Ti4ZnNi12 after structural relaxation.

Cell lengths 6.4818, 6.4818, 6.4818 Å; angles 109.47, 109.47, 109.47 degrees
With the nearest neighbours (Å) after each atom.
Fractional positions:
Ni: 0.7500 0.2500 0.5000  8 Ni 2.39-2.65, 4 Ti 2.65
Ti: 0.5000 0.0000 0.0000  12 Ni 2.65-2.67
Ni: 0.6988 0.0000 0.6988  1 Zn 2.25, 4 Ni 2.39
Ni: 0.3012 0.0000 0.3012  1 Zn 2.25, 4 Ni 2.39
Ni: 0.5000 0.2500 0.7500  8 Ni 2.39-2.65, 4 Ti 2.65
Ni: 0.0000 0.3012 0.3012  1 Zn 2.25, 4 Ni 2.39
Ni: 0.7500 0.5000 0.2500  8 Ni 2.39-2.65, 4 Ti 2.65
Ti: 0.0000 0.0000 0.5000  12 Ni 2.65-2.67
Ti: 0.0000 0.5000 0.0000  12 Ni 2.65-2.67
Ni: 0.2500 0.7500 0.5000  8 Ni 2.39-2.65, 4 Ti 2.65
Ni: 0.5000 0.7500 0.2500  8 Ni 2.39-2.65, 4 Ti 2.65
Zn: 0.0000 0.0000 0.0000  6 Ni 2.25
Ni: 0.2500 0.5000 0.7500  8 Ni 2.39-2.65, 4 Ti 2.65
Ni: 0.0000 0.6988 0.6988  1 Zn 2.25, 4 Ni 2.39
Ni: 0.3012 0.3012 0.0000  1 Zn 2.25, 4 Ni 2.39
Ti: 0.5000 0.5000 0.5000  12 Ni 2.65-2.67
Ni: 0.6988 0.6988 0.0000  1 Zn 2.25, 4 Ni 2.39

Space group   Im-3m
M_tot   0.000 μB/atom
Calculated volume   210 Å³/cell
E   -6.276 eV/atom
Energy of formation from the pure elements   -0.262 eV/atom

***

(8)
A plane-wave DFT calculation with PBE was carried out for TbGd3C after structural relaxation.

Cell lengths 5.1123, 5.1123, 5.1123 Å; angles 90.00, 90.00, 90.00 degrees
With the nearest neighbours (Å) after each atom.
Fractional positions:
Gd: 0.5000 0.0000 0.0000  2 C 2.56
Tb: 0.5000 0.5000 0.5000  12 Gd 3.61
C: 0.0000 0.0000 0.0000  6 Gd 2.56
Gd: 0.0000 0.5000 0.0000  2 C 2.56
Gd: 0.0000 0.0000 0.5000  2 C 2.56

Space group   Pm-3m
M_tot   4.618 μB/atom
Calculated volume   134 Å³/cell
E   -11.205 eV/atom
Energy of formation from the pure elements   0.015 eV/atom

***

(9)
A plane-wave DFT calculation with PBE was carried out for Ce2Cd16Pb after structural relaxation.

Cell lengths 7.7149, 7.7149, 7.7149 Å; angles 83.60, 83.60, 83.60 degrees
With the nearest neighbours (Å) after each atom.
Fractional positions:
Cd: 0.1038 0.1038 0.1038  3 Cd 2.98, 1 Pb 3.04
Cd: 0.3107 0.9983 0.6902  8 Cd 2.94-3.21
Cd: 0.9983 0.3107 0.6902  8 Cd 2.94-3.21
Cd: 0.4850 0.0095 0.0095  9 Cd 2.94-3.11, 1 Pb 3.25
Cd: 0.6453 0.1636 0.6453  8 Cd 2.85-3.13
Pb: 0.8981 0.8981 0.8981  7 Cd 3.04-3.30, 1 Ce 3.40
Cd: 0.6902 0.9983 0.3107  8 Cd 2.94-3.21
Cd: 0.0095 0.4850 0.0095  9 Cd 2.94-3.11, 1 Pb 3.25
Cd: 0.9983 0.6902 0.3107  8 Cd 2.94-3.21
Cd: 0.6902 0.3107 0.9983  8 Cd 2.94-3.21
Cd: 0.6453 0.6453 0.1636  8 Cd 2.85-3.13
Cd: 0.3566 0.8252 0.3566  8 Cd 2.85-3.13
Ce: 0.3348 0.3348 0.3348  13 Cd 3.41-3.75
Ce: 0.6682 0.6682 0.6682  1 Pb 3.40, 12 Cd 3.54-3.79
Cd: 0.3566 0.3566 0.8252  8 Cd 2.85-3.13
Cd: 0.0095 0.0095 0.4850  9 Cd 2.94-3.11, 1 Pb 3.25
Cd: 0.8252 0.3566 0.3566  8 Cd 2.85-3.13
Cd: 0.3107 0.6902 0.9983  8 Cd 2.94-3.21
Cd: 0.1636 0.6453 0.6453  8 Cd 2.85-3.13

Space group   R3m
M_tot   0.122 μB/atom
Calculated volume   451 Å³/cell
E   -1.702 eV/atom
Energy of formation from the pure elements   -0.111 eV/atom

***

(10)
A plane-wave DFT calculation with PBE was carried out for AcNd2Ru after structural relaxation.

Cell lengths 6.6025, 7.5312, 10.0763 Å; angles 90.00, 90.00, 90.00 degrees
With the nearest neighbours (Å) after each atom.
Fractional positions:
Nd: 0.6716 0.8276 0.5707  2 Ru 2.91-2.96
Ru: 0.9332 0.6168 0.7500  4 Nd 2.91-2.96, 2 Ac 2.92-3.02
Ru: 0.5668 0.1168 0.7500  4 Nd 2.91-2.96, 2 Ac 2.92-3.02
Nd: 0.1716 0.6724 0.0707  2 Ru 2.91-2.96
Nd: 0.8284 0.3276 0.9293  2 Ru 2.91-2.96
Nd: 0.1716 0.6724 0.4293  2 Ru 2.91-2.96
Ac: 0.6481 0.5450 0.2500  2 Ru 2.92-3.02
Ac: 0.3519 0.4550 0.7500  2 Ru 2.92-3.02
Ru: 0.4332 0.8832 0.2500  4 Nd 2.91-2.96, 2 Ac 2.92-3.02
Nd: 0.3284 0.1724 0.0707  2 Ru 2.91-2.96
Ac: 0.8519 0.0450 0.2500  2 Ru 2.92-3.02
Ac: 0.1481 0.9550 0.7500  2 Ru 2.92-3.02
Ru: 0.0668 0.3832 0.2500  4 Nd 2.91-2.96, 2 Ac 2.92-3.02
Nd: 0.3284 0.1724 0.4293  2 Ru 2.91-2.96
Nd: 0.6716 0.8276 0.9293  2 Ru 2.91-2.96
Nd: 0.8284 0.3276 0.5707  2 Ru 2.91-2.96

Space group   Pnma
M_tot   0.000 μB/atom
Calculated volume   501 Å³/cell
E   -5.907 eV/atom
Energy of formation from the pure elements   -0.177 eV/atom

***

(11)
A plane-wave DFT calculation with PBE was carried out for RbSrInCu2 after structural relaxation.

Cell lengths 5.8079, 6.3788, 5.8079 Å; angles 90.00, 90.00, 90.00 degrees
With the nearest neighbours (Å) after each atom.
Fractional positions:
Cu: 0.0000 0.0000 0.5000  2 Sr 2.90
Sr: 0.0000 0.0000 0.0000  4 Cu 2.90, 2 In 3.19
Rb: 0.5000 0.5000 0.5000  4 In 4.11, 8 Cu 4.31
Cu: 0.5000 0.0000 0.0000  2 Sr 2.90
In: 0.0000 0.5000 0.0000  2 Sr 3.19

Space group   P4/mmm
M_tot   0.088 μB/atom
Calculated volume   215 Å³/cell
E   -2.057 eV/atom
Energy of formation from the pure elements   0.659 eV/atom

***

(12)
A plane-wave DFT calculation with PBE was carried out for SrLi2As2 after structural relaxation.

Cell lengths 7.9216, 7.9216, 3.1640 Å; angles 90.00, 90.00, 90.00 degrees
With the nearest neighbours (Å) after each atom.
Fractional positions:
Li: 0.3861 0.8861 0.0000  1 Li 2.55, 6 As 2.83-2.84
Sr: 0.0000 0.0000 0.0000  2 Sr 3.16, 4 Li 3.19, 8 As 3.32
As: 0.6766 0.8234 0.5000  6 Li 2.83-2.84, 2 As 3.16
Li: 0.8861 0.6139 0.0000  1 Li 2.55, 6 As 2.83-2.84
Li: 0.6139 0.1139 0.0000  1 Li 2.55, 6 As 2.83-2.84
Li: 0.1139 0.3861 0.0000  1 Li 2.55, 6 As 2.83-2.84
As: 0.1766 0.6766 0.5000  6 Li 2.83-2.84, 2 As 3.16
Sr: 0.5000 0.5000 0.0000  2 Sr 3.16, 4 Li 3.19, 8 As 3.32
As: 0.8234 0.3234 0.5000  6 Li 2.83-2.84, 2 As 3.16
As: 0.3234 0.1766 0.5000  6 Li 2.83-2.84, 2 As 3.16

Space group   P4/mbm
M_tot   0.000 μB/atom
Calculated volume   199 Å³/cell
E   -3.622 eV/atom
Energy of formation from the pure elements   -0.660 eV/atom